*P*
DyTaTe: relaxed, PBE.

Size of the total moment, μB per atom: 0.00

a = 6.773 Å, b = 6.773 Å, c = 6.773 Å
α = 90.00°, β = 90.00°, γ = 90.00°
Space group F-43m (No. 216)
Inequivalent atoms, fractional coordinates:
Dy 0.000 0.000 0.000 x4
Ta 0.000 0.000 0.500 x4
Te 0.250 0.250 0.250 x4

=====

*Q*
DyTaTe: relaxed, PBE.

Size of the total moment, μB per atom: 0.94

a = 7.073 Å, b = 7.073 Å, c = 7.073 Å
α = 90.00°, β = 90.00°, γ = 90.00°
Space group F-43m (No. 216)
Inequivalent atoms, fractional coordinates:
Dy 0.000 0.000 0.000 x4
Ta 0.250 0.250 0.750 x4
Te 0.250 0.250 0.250 x4

=====

If you had to name the least stable structure above, which would it be? It would be *Q*.